## InSi2Au (PBE-GGA)

Data for crystalline InSi2Au at its relaxed geometry.

```
4
Lattice="-1.824 2.631 4.009 1.824 -2.631 4.009 1.824 2.631 -4.009" Properties=species:S:1:pos:R:3 pbc="T T T"
In 0.000 0.000 0.000
Si 1.824 0.000 2.230
Si 0.000 0.000 3.816
Au 0.000 2.631 1.728
```

The formation energy (no corrections) comes out at 0.33 eV/atom. Its total magnetic moment is 0.000 μB/atom. Its uncorrected energy is -15.554 eV/cell.